# 1
A relaxed Ba2Si2Ag crystal, computed with PBE.

Cell and atoms, written as extended XYZ:
```
5
Lattice="-0.2052 -4.1990 -2.0451 4.5880 -0.1848 -0.0811 -2.3058 -2.8736 6.1314" Properties=species:S:1:pos:R:3 pbc="T T T"
Ba 2.2897 -1.1797 2.1924
Ag -0.1052 -2.7589 0.3316
Si -0.1144 -5.0511 5.0387
Ba 2.2839 -2.6342 5.1794
Si -0.1102 -4.0070 2.8947
```

Computed properties:
Uncorrected formation energy ... -0.2107 eV per atom
Symmetry ... No. 38
D(E_F) ... 2.7 states/eV/cell
Energy above the most stable polymorph in this dataset ... 0.000 eV/atom

# 2
A relaxed BaSiAg2 crystal, computed with PBE.

Cell and atoms, written as extended XYZ:
```
4
Lattice="-4.3229 0.6230 0.7765 -1.0625 -2.1845 -4.1624 -0.2283 -4.7836 2.5672" Properties=species:S:1:pos:R:3 pbc="T T T"
Ag -1.0248 -6.4123 -0.5606
Si -3.1295 -4.9146 -0.8082
Ag -0.9113 -4.0399 -1.8322
Ba -2.4842 -1.4305 -0.0106
```

Computed properties:
Uncorrected formation energy ... -0.0274 eV per atom
Symmetry ... No. 47
D(E_F) ... 2.2 states/eV/cell

# 3
A relaxed BaSi2Ag4 crystal, computed with PBE.

Cell and atoms, written as extended XYZ:
```
7
Lattice="5.6873 0.0000 0.0000 0.0000 5.6873 0.0000 2.8437 2.8437 6.9470" Properties=species:S:1:pos:R:3 pbc="T T T"
Si 2.8437 2.8437 1.1376
Ag 2.8437 0.0000 0.0000
Ba 0.0000 0.0000 0.0000
Ag 0.0000 2.8437 0.0000
Ag 5.6873 5.6873 3.3862
Si 5.6873 5.6873 5.8094
Ag 2.8437 2.8437 3.5609
```

Computed properties:
Uncorrected formation energy ... 0.8361 eV per atom
Symmetry ... No. 139
D(E_F) ... 5.4 states/eV/cell
Energy above the most stable polymorph in this dataset ... 0.980 eV/atom